Record 1
The following is a PBE-GGA calculation of crystalline CrSe5 at its relaxed geometry, from Alexandria.

a b c (Å): 7.2650 7.2650 5.4462
angles (deg): 90.00 90.00 150.40
Positions (direct):
Se1 0.6806 0.3194 0.0000
Se2 0.4305 0.5695 0.0000
Se3 0.4195 0.5805 0.5000
Se4 0.6916 0.3084 0.5000
Se5 0.0556 0.9444 0.5000
Cr1 0.0556 0.9444 0.0000

Formation energy (no corrections) ... -0.79 eV/f.u.
Magnetization ... 3.0 μB per cell
DOS(E_F) ... 2.4 states/eV/f.u.
Volume ... 23.661 Å³/atom
Calculated total energy ... -4.639 eV/atom
Symmetry ... Cmmm

---

Record 2
The following is a PBE-GGA calculation of crystalline Cr3Se at its relaxed geometry, from Alexandria.

a b c (Å): 3.1496 3.1496 6.0506
angles (deg): 90.00 90.00 89.96
Positions (direct):
Cr1 0.0000 0.0000 0.5153
Cr2 0.5000 0.5000 0.7500
Cr3 0.0000 0.0000 0.9847
Se1 0.5000 0.5000 0.2500

Formation energy (no corrections) ... 0.92 eV/f.u.
Magnetization ... 4.0 μB per cell
DOS(E_F) ... 4.2 states/eV/f.u.
E above lowest polymorph ... 0.033 eV/f.u.
Volume ... 15.006 Å³/atom
Calculated total energy ... -7.860 eV/atom
Symmetry ... P4/mmm

---

Record 3
The following is a PBE-GGA calculation of crystalline Cr3Se at its relaxed geometry, from Alexandria.

a b c (Å): 5.2456 5.2456 8.5560
angles (deg): 90.00 90.00 120.00
Positions (direct):
Cr1 0.8264 0.6527 0.2500
Cr2 0.5000 0.0000 0.5000
Cr3 0.5000 0.5000 0.5000
Cr4 0.1736 0.3473 0.7500
Cr5 0.1736 0.8264 0.7500
Cr6 0.6527 0.8264 0.7500
Cr7 0.3473 0.1736 0.2500
Cr8 0.8264 0.1736 0.2500
Cr9 0.0000 0.5000 0.0000
Cr10 0.0000 0.5000 0.5000
Cr11 0.5000 0.5000 0.0000
Cr12 0.5000 0.0000 0.0000
Se1 0.6667 0.3333 0.7500
Se2 0.0000 0.0000 0.5000
Se3 0.0000 0.0000 0.0000
Se4 0.3333 0.6667 0.2500

Formation energy (no corrections) ... 1.63 eV/f.u.
Magnetization ... 13.8 μB per cell
DOS(E_F) ... 5.9 states/eV/f.u.
E above lowest polymorph ... 0.749 eV/f.u.
Volume ... 12.743 Å³/atom
Calculated total energy ... -7.681 eV/atom
Symmetry ... P6_3/mmc

---

Record 4
The following is a PBE-GGA calculation of crystalline CrSe at its relaxed geometry, from Alexandria.

a b c (Å): 4.2035 4.2035 8.8782
angles (deg): 78.92 78.92 50.15
Positions (direct):
Cr1 0.6801 0.6801 0.3715
Cr2 0.8331 0.8331 0.0512
Cr3 0.7034 0.7034 0.6924
Se1 0.0377 0.0377 0.5646
Se2 0.3979 0.3979 0.2431
Se3 0.1811 0.1811 0.9106

Formation energy (no corrections) ... -0.53 eV/f.u.
Magnetization ... 4.1 μB per cell
DOS(E_F) ... 0.8 states/eV/f.u.
Volume ... 19.617 Å³/atom
Calculated total energy ... -6.818 eV/atom
Symmetry ... Cm

---

Record 5
The following is a PBE-GGA calculation of crystalline CrSe2 at its relaxed geometry, from Alexandria.

a b c (Å): 6.2209 6.2209 7.0801
angles (deg): 72.22 72.22 29.86
Positions (direct):
Se1 0.5228 0.5228 0.2767
Se2 0.7719 0.7719 0.2989
Se3 0.4772 0.4772 0.7233
Se4 0.2281 0.2281 0.7011
Cr1 0.1121 0.1121 0.4589
Cr2 0.8879 0.8879 0.5411

Formation energy (no corrections) ... -1.08 eV/f.u.
Magnetization ... 2.0 μB per cell
DOS(E_F) ... 0.6 states/eV/f.u.
Volume ... 21.573 Å³/atom
Calculated total energy ... -5.891 eV/atom
Symmetry ... C2/m

---

Record 6
The following is a PBE-GGA calculation of crystalline Cr5Se4 at its relaxed geometry, from Alexandria.

a b c (Å): 7.5970 7.5970 7.0794
angles (deg): 90.00 90.00 120.00
Positions (direct):
Cr1 0.7478 0.0000 0.2500
Cr2 0.3333 0.6667 0.0000
Cr3 0.2522 0.0000 0.7500
Cr4 0.2522 0.2522 0.2500
Cr5 0.7478 0.7478 0.7500
Cr6 0.6667 0.3333 0.5000
Cr7 0.0000 0.7478 0.2500
Cr8 0.0000 0.2522 0.7500
Cr9 0.3333 0.6667 0.5000
Cr10 0.6667 0.3333 0.0000
Se1 0.0000 0.5865 0.7500
Se2 0.0000 0.4135 0.2500
Se3 0.4135 0.4135 0.7500
Se4 0.0000 0.0000 0.0000
Se5 0.5865 0.5865 0.2500
Se6 0.4135 0.0000 0.2500
Se7 0.0000 0.0000 0.5000
Se8 0.5865 0.0000 0.7500

Formation energy (no corrections) ... 0.81 eV/f.u.
Magnetization ... 43.9 μB per cell
DOS(E_F) ... 5.0 states/eV/f.u.
Volume ... 19.658 Å³/atom
Calculated total energy ... -6.805 eV/atom
Symmetry ... P6_3/mcm